First-principles (GGA-PBE) data for a relaxed structure of Cu2Ni2Cl7, as listed in the Alexandria database.

```
Cu2Ni2Cl7
1.0
4.774 -5.142 0.000
4.774 5.142 0.000
-4.547 0.000 11.307
Cu Ni Cl
4 4 14
Direct
0.094 0.837 0.573 Cu
0.163 0.906 0.927 Cu
0.837 0.094 0.073 Cu
0.906 0.163 0.427 Cu
0.266 0.353 0.798 Ni
0.353 0.266 0.298 Ni
0.647 0.734 0.702 Ni
0.734 0.647 0.202 Ni
0.030 0.165 0.637 Cl
0.130 0.366 0.394 Cl
0.144 0.581 0.911 Cl
0.165 0.030 0.137 Cl
0.366 0.130 0.894 Cl
0.419 0.856 0.589 Cl
0.476 0.524 0.250 Cl
0.524 0.476 0.750 Cl
0.581 0.144 0.411 Cl
0.634 0.870 0.106 Cl
0.835 0.970 0.863 Cl
0.856 0.419 0.089 Cl
0.870 0.634 0.606 Cl
0.970 0.835 0.363 Cl
```

Output
- space-group type = No. 15
- size of the total moment (μB/cell) = 10.1
- total energy (eV/atom) = -3.44
- raw formation energy (meV per atom) = -469